# 1
DFT (PBE-GGA) results for a geometry-optimized K3Y structure. Values from VASP.

```
&SYSTEM
  ibrav = 0, nat = 4, ntyp = 2
/
ATOMIC_SPECIES
K 39.10 K.upf
Y 88.91 Y.upf
CELL_PARAMETERS angstrom
6.836 0.000 0.000
3.418 5.920 0.000
3.418 1.973 5.582
ATOMIC_POSITIONS crystal
K 0.250 0.250 0.250
K 0.750 0.750 0.750
K 0.500 0.500 0.500
Y 0.000 0.000 0.000
```

Values from the calculation:
The final energy is -7.47 eV per cell. The formation energy is 0.57 eV/atom.



# 2
DFT (PBE-GGA) results for a geometry-optimized ZnSiAgPd structure. Values from VASP.

```
&SYSTEM
  ibrav = 0, nat = 4, ntyp = 4
/
ATOMIC_SPECIES
Zn 65.41 Zn.upf
Si 28.09 Si.upf
Pd 106.42 Pd.upf
Ag 107.87 Ag.upf
CELL_PARAMETERS angstrom
4.416 0.000 0.000
2.208 3.824 0.000
2.208 1.275 3.605
ATOMIC_POSITIONS crystal
Zn 0.500 0.500 0.500
Si 0.000 0.000 0.000
Pd 0.250 0.250 0.250
Ag 0.750 0.750 0.750
```

Values from the calculation:
The calculation puts the formation energy without anion corrections at -0.110 eV/atom. The final energy is -15.18 eV per cell.



# 3
DFT (PBE-GGA) results for a geometry-optimized SbH12C2N6F5 structure. Values from VASP.

```
&SYSTEM
  ibrav = 0, nat = 52, ntyp = 5
/
ATOMIC_SPECIES
Sb 121.76 Sb.upf
H 1.01 H.upf
C 12.01 C.upf
N 14.01 N.upf
F 19.00 F.upf
CELL_PARAMETERS angstrom
-6.070 -0.859 5.941
-2.256 -1.408 -8.641
5.382 -7.216 4.455
ATOMIC_POSITIONS crystal
Sb 0.659 0.318 0.157
Sb 0.341 0.682 0.843
H 0.213 0.217 0.236
H 0.005 0.217 0.236
H 0.787 0.783 0.764
H 0.995 0.783 0.764
H 0.729 0.741 0.170
H 0.012 0.741 0.170
H 0.271 0.259 0.830
H 0.988 0.259 0.830
H 0.740 0.953 0.197
H 0.213 0.953 0.197
H 0.260 0.047 0.803
H 0.787 0.047 0.803
H 0.837 0.467 0.851
H 0.630 0.467 0.851
H 0.163 0.533 0.149
H 0.370 0.533 0.149
H 0.503 0.286 0.452
H 0.782 0.286 0.452
H 0.497 0.714 0.548
H 0.218 0.714 0.548
H 0.443 0.362 0.626
H 0.919 0.362 0.626
H 0.557 0.638 0.374
H 0.081 0.638 0.374
C 0.984 0.967 0.196
C 0.016 0.033 0.804
C 0.678 0.356 0.640
C 0.322 0.644 0.360
N 0.073 0.147 0.217
N 0.927 0.853 0.783
N 0.803 0.878 0.185
N 0.075 0.878 0.185
N 0.197 0.122 0.815
N 0.925 0.122 0.815
N 0.711 0.421 0.793
N 0.289 0.579 0.207
N 0.524 0.321 0.565
N 0.797 0.321 0.565
N 0.476 0.679 0.435
N 0.203 0.679 0.435
F 0.765 0.530 0.372
F 0.235 0.470 0.628
F 0.772 0.206 0.246
F 0.434 0.206 0.246
F 0.228 0.794 0.754
F 0.566 0.794 0.754
F 0.578 0.500 0.143
F 0.922 0.500 0.143
F 0.422 0.500 0.857
F 0.078 0.500 0.857
```

Values from the calculation:
The final energy is -290.93 eV per cell.



# 4
DFT (PBE-GGA) results for a geometry-optimized Rb3NaMg2Cl8 structure. Values from VASP.

```
&SYSTEM
  ibrav = 0, nat = 14, ntyp = 4
/
ATOMIC_SPECIES
Rb 85.47 Rb.upf
Na 22.99 Na.upf
Mg 24.30 Mg.upf
Cl 35.45 Cl.upf
CELL_PARAMETERS angstrom
-5.538 3.562 3.503
-1.465 -4.196 -5.989
-1.290 -7.447 5.532
ATOMIC_POSITIONS crystal
Rb 0.333 0.667 0.625
Rb 0.667 0.333 0.375
Rb 0.000 0.000 0.000
Na 0.000 0.000 0.500
Mg 0.333 0.667 0.209
Mg 0.667 0.333 0.791
Cl 0.333 0.667 0.964
Cl 0.667 0.333 0.036
Cl 0.168 0.832 0.314
Cl 0.832 0.168 0.686
Cl 0.168 0.335 0.314
Cl 0.832 0.665 0.686
Cl 0.665 0.832 0.314
Cl 0.335 0.168 0.686
```

Values from the calculation:
The calculation puts the formation energy without anion corrections at -1.885 eV/atom. The final energy is -48.57 eV per cell.



# 5
DFT (PBE-GGA) results for a geometry-optimized AlSi3Mo structure. Values from VASP.

```
&SYSTEM
  ibrav = 0, nat = 5, ntyp = 3
/
ATOMIC_SPECIES
Mo 95.94 Mo.upf
Si 28.09 Si.upf
Al 26.98 Al.upf
CELL_PARAMETERS angstrom
-2.607 0.121 3.972
3.170 -2.801 2.166
2.396 3.837 1.455
ATOMIC_POSITIONS crystal
Mo 0.000 0.000 0.000
Si 0.000 0.500 0.000
Si 0.000 0.000 0.500
Si 0.500 0.000 0.000
Al 0.500 0.500 0.500
```

Values from the calculation:
The calculation puts the formation energy without anion corrections at 0.594 eV/atom. The final energy is -27.87 eV per cell. Its offset from the most stable computed form is 0 meV per atom.



# 6
DFT (PBE-GGA) results for a geometry-optimized InCuTc2Br structure. Values from VASP.

```
&SYSTEM
  ibrav = 0, nat = 5, ntyp = 4
/
ATOMIC_SPECIES
Cu 63.55 Cu.upf
Tc 98.00 Tc.upf
Br 79.90 Br.upf
In 114.82 In.upf
CELL_PARAMETERS angstrom
-2.100 2.780 -2.995
-4.387 0.371 3.419
1.905 3.645 2.048
ATOMIC_POSITIONS crystal
Cu 0.500 0.500 0.500
Tc 0.000 0.000 0.500
Tc 0.500 0.000 0.000
Br 0.000 0.000 0.000
In 0.000 0.500 0.000
```

Values from the calculation:
The calculation puts the formation energy without anion corrections at 1.692 eV/atom. The final energy is -20.78 eV per cell.



# 7
DFT (PBE-GGA) results for a geometry-optimized Be6CoIr3 structure. Values from VASP.

```
&SYSTEM
  ibrav = 0, nat = 20, ntyp = 3
/
ATOMIC_SPECIES
Be 9.01 Be.upf
Co 58.93 Co.upf
Ir 192.22 Ir.upf
CELL_PARAMETERS angstrom
3.872 0.000 0.000
0.000 6.181 -2.067
0.000 0.097 8.408
ATOMIC_POSITIONS crystal
Be 0.250 0.452 0.092
Be 0.750 0.548 0.908
Be 0.250 0.160 0.201
Be 0.750 0.840 0.799
Be 0.250 0.660 0.690
Be 0.750 0.340 0.310
Be 0.250 0.248 0.499
Be 0.750 0.752 0.501
Be 0.250 0.860 0.300
Be 0.750 0.140 0.700
Be 0.250 0.040 0.854
Be 0.750 0.960 0.146
Co 0.250 0.951 0.585
Co 0.750 0.049 0.415
Ir 0.250 0.540 0.391
Ir 0.750 0.460 0.609
Ir 0.250 0.352 0.804
Ir 0.750 0.648 0.196
Ir 0.250 0.799 0.996
Ir 0.750 0.201 0.004
```

Values from the calculation:
The final energy is -121.29 eV per cell. The formation energy is -0.46 eV/atom.



# 8
DFT (PBE-GGA) results for a geometry-optimized Pm2GaCu9 structure. Values from VASP.

```
&SYSTEM
  ibrav = 0, nat = 12, ntyp = 3
/
ATOMIC_SPECIES
Pm 145.00 Pm.upf
Ga 69.72 Ga.upf
Cu 63.55 Cu.upf
CELL_PARAMETERS angstrom
-5.074 0.704 0.365
-3.165 -2.386 -3.266
-3.266 -7.025 4.260
ATOMIC_POSITIONS crystal
Pm 0.866 0.866 0.402
Pm 0.134 0.134 0.598
Ga 0.000 0.000 0.000
Cu 0.667 0.667 0.999
Cu 0.333 0.333 0.001
Cu 0.500 0.500 0.500
Cu 0.419 0.419 0.241
Cu 0.921 0.419 0.241
Cu 0.419 0.921 0.241
Cu 0.581 0.581 0.759
Cu 0.581 0.079 0.759
Cu 0.079 0.581 0.759
```

Values from the calculation:
The final energy is -49.86 eV per cell. The formation energy is -0.04 eV/atom.



| no. | total moment (μB/cell) |
| --- | --- |
| 1 | 0.000 |
| 2 | 0.000 |
| 3 | 0.000 |
| 4 | 0.158 |
| 5 | 0.000 |
| 6 | 2.835 |
| 7 | 0.000 |
| 8 | 0.000 |